Entry from Alexandria via LeMat-Bulk: a crystal of ZnMoBr2 relaxed with PBEsol (meta-GGA SCAN).

Cell and atoms, written as CIF:
```
data_ZnMoBr2
_cell_length_a 9.6325
_cell_length_b 3.1705
_cell_length_c 7.2763
_cell_angle_alpha 90.00
_cell_angle_beta 111.77
_cell_angle_gamma 90.00
_space_group_name_H-M_alt 'C 1 m 1'
_space_group_IT_number 8
_space_group_name_Hall 'C -2y'
loop_
_atom_site_label
_atom_site_fract_x
_atom_site_fract_y
_atom_site_fract_z
Zn1 0.0000 0.0000 0.0000
Mo1 0.2740 0.0000 0.0000
Br1 0.1562 0.5000 0.7057
Br2 0.3198 0.5000 0.2941
```

Properties
For the final energy, the calculation gives -21.783 eV per atom. Its formation energy without anion corrections is 0.19 eV per formula unit. The volume comes out at 25.80 A^3/atom.



Entry from Alexandria via LeMat-Bulk: a crystal of Fe2GeSb relaxed with PBEsol (meta-GGA SCAN).

Cell and atoms, written as CIF:
```
data_Fe2GeSb
_cell_length_a 5.9831
_cell_length_b 5.9831
_cell_length_c 5.9831
_cell_angle_alpha 90.00
_cell_angle_beta 90.00
_cell_angle_gamma 90.00
_space_group_name_H-M_alt 'F m -3 m'
_space_group_IT_number 225
_space_group_name_Hall '-F 4 2 3'
loop_
_atom_site_label
_atom_site_fract_x
_atom_site_fract_y
_atom_site_fract_z
Fe1 0.2500 0.2500 0.2500
Ge1 0.0000 0.0000 0.0000
Sb1 0.0000 0.0000 0.5000
```

Properties
For the final energy, the calculation gives -22.750 eV per atom. Its formation energy without anion corrections is 1.61 eV per formula unit. The volume comes out at 13.39 A^3/atom.